## Pr3ReN4 (GGA-PBE)

Data for a relaxed Pr3ReN4 crystal.

It has space group Pmn2_1 (No. 31), with a = 7.783 Å, b = 6.986 Å, c = 5.427 Å, α = 90.00°, β = 90.00° and γ = 90.00°. Symmetry generates all atoms from Pr at (0.000, 0.143, 0.000), Pr at (0.239, 0.342, 0.502), Re at (0.000, 0.827, 0.430), N at (0.000, 0.100, 0.485), N at (0.000, 0.812, 0.071) and N at (0.215, 0.699, 0.486).

The calculated total energy comes out at -132.778 eV/cell. As for the calculated volume: 18.4 A^3/atom.


## HoV2Cr (GGA-PBE)

Data for a relaxed HoV2Cr crystal.

It has space group R-3m (No. 166, hexagonal axes), with a = 4.0866 Å, b = 4.0866 Å, c = 15.1897 Å, α = 90.00°, β = 90.00° and γ = 120.00°. Symmetry generates all atoms from Ho at (0.0000, 0.0000, 0.0000), V at (0.0000, 0.0000, 0.2037) and Cr at (0.0000, 0.0000, 0.5000).

The calculated total energy comes out at -92.706 eV/cell. The formation energy from the elements is 384 meV per atom. As for the calculated volume: 18.3 A^3/atom.


## Ca2PmZrAs4 (GGA-PBE)

Data for a relaxed Ca2PmZrAs4 crystal.

It has space group P2/m (No. 10), with a = 7.139 Å, b = 4.097 Å, c = 7.283 Å, α = 90.00°, β = 108.80° and γ = 90.00°. Symmetry generates all atoms from Ca at (0.000, 0.000, 0.000), Ca at (0.500, 0.500, 0.000), Pm at (0.000, 0.500, 0.500), Zr at (0.500, 0.000, 0.500), As at (0.262, 0.000, 0.737) and As at (0.271, 0.500, 0.271).

The calculated total energy comes out at -45.327 eV/cell. The formation energy from the elements is -1178 meV per atom. As for the calculated volume: 25.2 A^3/atom.


## TiPdI3 (GGA-PBE)

Data for a relaxed TiPdI3 crystal.

It has space group Pm-3m (No. 221), with a = 5.492 Å, b = 5.492 Å, c = 5.492 Å, α = 90.00°, β = 90.00° and γ = 90.00°. Symmetry generates all atoms from Ti at (0.000, 0.000, 0.000), Pd at (0.500, 0.500, 0.500) and I at (0.000, 0.500, 0.500).

The calculated total energy comes out at -16.188 eV/cell. As for the calculated volume: 33.1 A^3/atom.


## Tb4Pm3 (GGA-PBE)

Data for a relaxed Tb4Pm3 crystal.

It has space group I4/mmm (No. 139), with a = 3.599 Å, b = 3.599 Å, c = 35.658 Å, α = 90.00°, β = 90.00° and γ = 90.00°. Symmetry generates all atoms from Tb at (0.000, 0.000, 0.072), Tb at (0.000, 0.000, 0.358), Pm at (0.000, 0.000, 0.213) and Pm at (0.000, 0.000, 0.500).

The calculated total energy comes out at -65.314 eV/cell. The formation energy from the elements is 17 meV per atom. As for the calculated volume: 33.0 A^3/atom.


## BaAgSn2Au4 (GGA-PBE)

Data for a relaxed BaAgSn2Au4 crystal.

It has space group R-3m (No. 166, hexagonal axes), with a = 4.7514 Å, b = 4.7514 Å, c = 29.7927 Å, α = 90.00°, β = 90.00° and γ = 120.00°. Symmetry generates all atoms from Ba at (0.0000, 0.0000, 0.0000), Ag at (0.0000, 0.0000, 0.5000), Sn at (0.0000, 0.0000, 0.2376), Au at (0.0000, 0.0000, 0.1385) and Au at (0.0000, 0.0000, 0.4015).

The calculated total energy comes out at -85.511 eV/cell. The formation energy from the elements is -327 meV per atom. As for the calculated volume: 24.3 A^3/atom.


## ZrTaNi2 (GGA-PBE)

Data for a relaxed ZrTaNi2 crystal.

It has space group I-4m2 (No. 119), with a = 3.761 Å, b = 3.761 Å, c = 8.775 Å, α = 90.00°, β = 90.00° and γ = 90.00°. Symmetry generates all atoms from Zr at (0.000, 0.000, 0.000), Ta at (0.000, 0.500, 0.250), Ni at (0.000, 0.000, 0.500) and Ni at (0.000, 0.500, 0.750).

The calculated total energy comes out at -64.565 eV/cell. The formation energy from the elements is -80 meV per atom. As for the calculated volume: 15.5 A^3/atom.


## Sr2SmTlSe4 (GGA-PBE)

Data for a relaxed Sr2SmTlSe4 crystal.

It has space group P2/m (No. 10), with a = 7.492 Å, b = 4.409 Å, c = 7.832 Å, α = 90.00°, β = 108.72° and γ = 90.00°. Symmetry generates all atoms from Sr at (0.000, 0.000, 0.000), Sr at (0.000, 0.500, 0.500), Sm at (0.500, 0.000, 0.500), Tl at (0.500, 0.500, 0.000), Se at (0.251, 0.000, 0.726) and Se at (0.262, 0.500, 0.270).

The calculated total energy comes out at -37.620 eV/cell. As for the calculated volume: 30.6 A^3/atom.


## PmPr3Cd4 (GGA-PBE)

Data for a relaxed PmPr3Cd4 crystal.

It has space group Pmma (No. 51), with a = 10.918 Å, b = 7.783 Å, c = 5.460 Å, α = 90.00°, β = 90.00° and γ = 90.00°. Symmetry generates all atoms from Pm at (0.000, 0.000, 0.000), Pr at (0.000, 0.500, 0.000), Pr at (0.250, 0.000, 0.499), Pr at (0.250, 0.500, 0.499), Cd at (0.000, 0.247, 0.500) and Cd at (0.250, 0.247, 0.999).

The calculated total energy comes out at -50.606 eV/cell. The formation energy from the elements is -319 meV per atom. As for the calculated volume: 29.0 A^3/atom.


## K2FeOs (GGA-PBE)

Data for a relaxed K2FeOs crystal.

It has space group P4/mmm (No. 123), with a = 3.889 Å, b = 3.889 Å, c = 5.557 Å, α = 90.00°, β = 90.00° and γ = 90.00°. Symmetry generates all atoms from K at (0.000, 0.500, 0.000), Fe at (0.000, 0.000, 0.500) and Os at (0.500, 0.500, 0.500).

The calculated total energy comes out at -16.050 eV/cell. The formation energy from the elements is 1459 meV per atom. As for the calculated volume: 21.0 A^3/atom.


## TlFeIr2Ru (GGA-PBE)

Data for a relaxed TlFeIr2Ru crystal.

It has space group P4/mmm (No. 123), with a = 4.752 Å, b = 4.752 Å, c = 4.684 Å, α = 90.00°, β = 90.00° and γ = 90.00°. Symmetry generates all atoms from Tl at (0.000, 0.000, 0.000), Fe at (0.500, 0.500, 0.000), Ir at (0.000, 0.500, 0.500) and Ru at (0.500, 0.500, 0.500).

The calculated total energy comes out at -30.896 eV/cell. The formation energy from the elements is 1386 meV per atom. As for the calculated volume: 21.2 A^3/atom.


## Sc2SbTe (GGA-PBE)

Data for a relaxed Sc2SbTe crystal.

It has space group F-43m (No. 216), with a = 7.299 Å, b = 7.299 Å, c = 7.299 Å, α = 90.00°, β = 90.00° and γ = 90.00°. Symmetry generates all atoms from Sc at (0.000, 0.000, 0.000), Sc at (0.250, 0.250, 0.250), Sb at (0.000, 0.000, 0.500) and Te at (0.250, 0.250, 0.750).

The calculated total energy comes out at -83.115 eV/cell. As for the calculated volume: 24.3 A^3/atom.


| no. | DOS at the Fermi energy (states/eV/cell) | spin magnetization (μB/atom) |
| --- | --- | --- |
| 1 | 10.403 | 0.000 |
| 2 | 14.485 | 0.000 |
| 3 | 4.194 | 0.000 |
| 4 | 4.307 | 0.475 |
| 5 | 17.935 | 0.000 |
| 6 | 15.382 | 0.000 |
| 7 | 10.273 | 0.000 |
| 8 | 0.003 | 0.000 |
| 9 | 18.522 | 0.194 |
| 10 | 3.476 | 0.907 |
| 11 | 5.911 | 0.752 |
| 12 | 16.707 | 0.116 |